# 1
VASP calculation (meta-GGA SCAN) on a crystal of Mn2IrSe relaxed with PBEsol.

Output
M_tot: 16.22 μB/cell
D(E_F): 0.562 states/eV/atom

a = 3.9474 Å, b = 3.9474 Å, c = 7.3234 Å
α = 90.00°, β = 90.00°, γ = 90.00°
With the nearest neighbours (Å) after each atom.
Fractional positions:
Mn (0.0000, 0.5000, 0.2500)  4 Se 2.69, 4 Ir 2.69, 4 Mn 2.79
Mn (0.0000, 0.5000, 0.7500)  4 Ir 2.69, 4 Se 2.69, 4 Mn 2.79
Mn (0.5000, 0.0000, 0.2500)  4 Se 2.69, 4 Ir 2.69, 4 Mn 2.79
Mn (0.5000, 0.0000, 0.7500)  4 Ir 2.69, 4 Se 2.69, 4 Mn 2.79
Ir (0.0000, 0.0000, 0.0000)  8 Mn 2.69, 4 Se 2.79
Ir (0.5000, 0.5000, 0.5000)  8 Mn 2.69, 4 Se 2.79
Se (0.0000, 0.0000, 0.5000)  8 Mn 2.69, 4 Ir 2.79
Se (0.5000, 0.5000, 0.0000)  8 Mn 2.69, 4 Ir 2.79

---

# 2
VASP calculation (meta-GGA SCAN) on a crystal of YTmMg2 relaxed with PBEsol.

Output
ΔH_f (0 K): -0.081 eV/atom
M_tot: 0.00 μB/cell
D(E_F): 1.304 states/eV/atom

a = 7.4614 Å, b = 7.4614 Å, c = 7.4614 Å
α = 90.00°, β = 90.00°, γ = 90.00°
With the nearest neighbours (Å) after each atom.
Fractional positions:
Y (0.0000, 0.0000, 0.0000)  8 Mg 3.23
Y (0.0000, 0.5000, 0.5000)  8 Mg 3.23
Y (0.5000, 0.0000, 0.5000)  8 Mg 3.23
Y (0.5000, 0.5000, 0.0000)  8 Mg 3.23
Tm (0.0000, 0.0000, 0.5000)  8 Mg 3.23
Tm (0.0000, 0.5000, 0.0000)  8 Mg 3.23
Tm (0.5000, 0.0000, 0.0000)  8 Mg 3.23
Tm (0.5000, 0.5000, 0.5000)  8 Mg 3.23
Mg (0.2500, 0.2500, 0.2500)  4 Tm 3.23, 4 Y 3.23
Mg (0.2500, 0.2500, 0.7500)  4 Tm 3.23, 4 Y 3.23
Mg (0.2500, 0.7500, 0.2500)  4 Tm 3.23, 4 Y 3.23
Mg (0.2500, 0.7500, 0.7500)  4 Tm 3.23, 4 Y 3.23
Mg (0.7500, 0.2500, 0.2500)  4 Tm 3.23, 4 Y 3.23
Mg (0.7500, 0.2500, 0.7500)  4 Tm 3.23, 4 Y 3.23
Mg (0.7500, 0.7500, 0.2500)  4 Tm 3.23, 4 Y 3.23
Mg (0.7500, 0.7500, 0.7500)  4 Y 3.23, 4 Tm 3.23

---

# 3
VASP calculation (meta-GGA SCAN) on a crystal of K2CdFe relaxed with PBEsol.

Output
ΔH_f (0 K): 0.662 eV/atom
M_tot: 6.41 μB/cell
D(E_F): 0.451 states/eV/atom

a = 6.3754 Å, b = 10.5068 Å, c = 3.4657 Å
α = 90.00°, β = 90.00°, γ = 90.00°
With the nearest neighbours (Å) after each atom.
Fractional positions:
K (0.2500, 0.2500, 0.0000)  4 K 3.19-3.47, 4 Cd 3.53, 4 Fe 3.53
K (0.2500, 0.7500, 0.0000)  4 K 3.19-3.47, 4 Cd 3.53, 4 Fe 3.53
K (0.7500, 0.2500, 0.0000)  4 K 3.19-3.47, 4 Cd 3.53, 4 Fe 3.53
K (0.7500, 0.7500, 0.0000)  4 K 3.19-3.47, 4 Cd 3.53, 4 Fe 3.53
Cd (0.0000, 0.0000, 0.5000)  2 Fe 3.19, 2 Cd 3.47, 8 K 3.53
Cd (0.5000, 0.5000, 0.5000)  2 Fe 3.19, 2 Cd 3.47, 8 K 3.53
Fe (0.0000, 0.5000, 0.5000)  2 Cd 3.19, 2 Fe 3.47, 8 K 3.53
Fe (0.5000, 0.0000, 0.5000)  2 Cd 3.19, 2 Fe 3.47, 8 K 3.53

---

# 4
VASP calculation (meta-GGA SCAN) on a crystal of ThSbRh relaxed with PBEsol.

Output
M_tot: 0.00 μB/cell

a = 6.6397 Å, b = 6.6397 Å, c = 6.6397 Å
α = 90.00°, β = 90.00°, γ = 90.00°
With the nearest neighbours (Å) after each atom.
Fractional positions:
Th (0.0000, 0.0000, 0.0000)  4 Rh 2.88
Th (0.0000, 0.5000, 0.5000)  4 Rh 2.88
Th (0.5000, 0.0000, 0.5000)  4 Rh 2.88
Th (0.5000, 0.5000, 0.0000)  4 Rh 2.88
Sb (0.0000, 0.0000, 0.5000)  4 Rh 2.88
Sb (0.0000, 0.5000, 0.0000)  4 Rh 2.88
Sb (0.5000, 0.0000, 0.0000)  4 Rh 2.88
Sb (0.5000, 0.5000, 0.5000)  4 Rh 2.88
Rh (0.2500, 0.2500, 0.2500)  4 Th 2.88, 4 Sb 2.88
Rh (0.2500, 0.7500, 0.7500)  4 Th 2.88, 4 Sb 2.88
Rh (0.7500, 0.2500, 0.7500)  4 Th 2.88, 4 Sb 2.88
Rh (0.7500, 0.7500, 0.2500)  4 Th 2.88, 4 Sb 2.88

---

no.,calculated volume (Å³/cell),DFT total energy (eV for the cell shown)
1,114.11,-255.81
2,415.39,-359.78
3,232.15,-125.11
4,292.72,-682.24